Here is a relaxed YBe2Tl crystal from the Alexandria database. Energies are from GGA-PBE.

It has space group Fm-3m (No. 225), with a = 6.533 Å, b = 6.533 Å, c = 6.533 Å, α = 90.00°, β = 90.00° and γ = 90.00°. The asymmetric unit holds Y at (0.000, 0.000, 0.000), Be at (0.250, 0.250, 0.250) and Tl at (0.000, 0.000, 0.500).

The calculation puts the density at 7.42 g/cm³. As for the energy relative to the lowest polymorph listed for this composition: 0.263 eV/atom.

---

Here is a relaxed Y2BeTl crystal from the Alexandria database. Energies are from GGA-PBE.

It has space group C2/m (No. 12), with a = 8.423 Å, b = 3.688 Å, c = 6.981 Å, α = 90.00°, β = 102.79° and γ = 90.00°. The asymmetric unit holds Y at (0.237, 0.000, 0.208), Be at (0.000, 0.500, 0.000) and Tl at (0.000, 0.000, 0.500).

The calculation puts the density at 6.14 g/cm³. As for the energy relative to the lowest polymorph listed for this composition: 0.215 eV/atom.

---

Here is a relaxed YBeTl2 crystal from the Alexandria database. Energies are from GGA-PBE.

It has space group Cmm2 (No. 35), with a = 4.623 Å, b = 5.261 Å, c = 7.908 Å, α = 90.00°, β = 90.00° and γ = 90.00°. The asymmetric unit holds Y at (0.000, 0.000, 0.000), Be at (0.000, 0.500, 0.212), Tl at (0.000, 0.000, 0.407) and Tl at (0.000, 0.500, 0.700).

The calculation puts the density at 8.75 g/cm³. As for the energy relative to the lowest polymorph listed for this composition: 0.103 eV/atom.

---

Here is a relaxed YBeTl2 crystal from the Alexandria database. Energies are from GGA-PBE.

It has space group C2/m (No. 12), with a = 7.634 Å, b = 4.415 Å, c = 6.058 Å, α = 90.00°, β = 114.82° and γ = 90.00°. The asymmetric unit holds Y at (0.000, 0.000, 0.000), Be at (0.000, 0.500, 0.500) and Tl at (0.226, 0.000, 0.676).

The calculation puts the density at 9.08 g/cm³. As for the energy relative to the lowest polymorph listed for this composition: 0.000 eV/atom.

---

Here is a relaxed Y2BeTl crystal from the Alexandria database. Energies are from GGA-PBE.

It has space group Fm-3m (No. 225), with a = 7.287 Å, b = 7.287 Å, c = 7.287 Å, α = 90.00°, β = 90.00° and γ = 90.00°. The asymmetric unit holds Y at (0.250, 0.250, 0.250), Be at (0.000, 0.000, 0.000) and Tl at (0.000, 0.000, 0.500).

The calculation puts the density at 6.71 g/cm³. As for the energy relative to the lowest polymorph listed for this composition: 0.073 eV/atom.

---

Here is a relaxed YBeTl2 crystal from the Alexandria database. Energies are from GGA-PBE.

It has space group Fm-3m (No. 225), with a = 7.219 Å, b = 7.219 Å, c = 7.219 Å, α = 90.00°, β = 90.00° and γ = 90.00°. The asymmetric unit holds Y at (0.000, 0.000, 0.000), Be at (0.000, 0.000, 0.500) and Tl at (0.250, 0.250, 0.250).

The calculation puts the density at 8.95 g/cm³. As for the energy relative to the lowest polymorph listed for this composition: 0.171 eV/atom.

---

Here is a relaxed Y2BeTl crystal from the Alexandria database. Energies are from GGA-PBE.

It has space group P4mm (No. 99), with a = 3.405 Å, b = 3.405 Å, c = 8.425 Å, α = 90.00°, β = 90.00° and γ = 90.00°. The asymmetric unit holds Y at (0.000, 0.000, 0.000), Y at (0.500, 0.500, 0.325), Be at (0.000, 0.000, 0.540) and Tl at (0.500, 0.500, 0.718).

The calculation puts the density at 6.65 g/cm³. As for the energy relative to the lowest polymorph listed for this composition: 0.265 eV/atom.

---

Here is a relaxed YBeTl2 crystal from the Alexandria database. Energies are from GGA-PBE.

It has space group Immm (No. 71), with a = 3.609 Å, b = 4.944 Å, c = 10.596 Å, α = 90.00°, β = 90.00° and γ = 90.00°. The asymmetric unit holds Y at (0.000, 0.000, 0.000), Be at (0.000, 0.000, 0.500) and Tl at (0.000, 0.500, 0.203).

The calculation puts the density at 8.90 g/cm³. As for the energy relative to the lowest polymorph listed for this composition: 0.096 eV/atom.

---

Here is a relaxed YBe2Tl crystal from the Alexandria database. Energies are from GGA-PBE.

It has space group Cmmm (No. 65), with a = 4.388 Å, b = 5.171 Å, c = 6.674 Å, α = 90.00°, β = 90.00° and γ = 90.00°. The asymmetric unit holds Y at (0.000, 0.000, 0.000), Be at (0.000, 0.500, 0.287) and Tl at (0.000, 0.000, 0.500).

The calculation puts the density at 6.83 g/cm³. As for the energy relative to the lowest polymorph listed for this composition: 0.375 eV/atom.

---

Here is a relaxed YBe2Tl crystal from the Alexandria database. Energies are from GGA-PBE.

It has space group Amm2 (No. 38), with a = 3.903 Å, b = 4.013 Å, c = 9.288 Å, α = 90.00°, β = 90.00° and γ = 90.00°. The asymmetric unit holds Y at (0.000, 0.000, 0.000), Be at (0.000, 0.000, 0.304), Be at (0.500, 0.000, 0.397) and Tl at (0.500, 0.000, 0.710).

The calculation puts the density at 7.11 g/cm³. As for the energy relative to the lowest polymorph listed for this composition: 0.083 eV/atom.

---

Here is a relaxed YBe2Tl crystal from the Alexandria database. Energies are from GGA-PBE.

It has space group P1 (No. 1), with a = 4.099 Å, b = 4.321 Å, c = 4.869 Å, α = 114.92°, β = 102.97° and γ = 91.15°. The asymmetric unit holds Y at (0.000, 0.000, 0.000), Be at (0.333, 0.371, 0.722), Be at (0.781, 0.284, 0.567) and Tl at (0.550, 0.658, 0.312).

The calculation puts the density at 6.84 g/cm³. As for the energy relative to the lowest polymorph listed for this composition: 0.101 eV/atom.

---

Here is a relaxed Y2BeTl crystal from the Alexandria database. Energies are from GGA-PBE.

It has space group I-42d (No. 122), with a = 7.868 Å, b = 7.868 Å, c = 6.799 Å, α = 90.00°, β = 90.00° and γ = 90.00°. The asymmetric unit holds Y at (0.210, 0.250, 0.125), Be at (0.000, 0.000, 0.000) and Tl at (0.000, 0.000, 0.500).

The calculation puts the density at 6.17 g/cm³. As for the energy relative to the lowest polymorph listed for this composition: 0.378 eV/atom.

---

no.,formation enthalpy at 0 K (eV per atom)
1,0.275
2,0.067
3,0.176
4,0.073
5,-0.075
6,0.244
7,0.116
8,0.169
9,0.387
10,0.095
11,0.113
12,0.230